Computed, not measured: MnNb2CuF after structural relaxation at the GGA+U level of DFT.

```
MnNb2CuF
1.0
4.884 0.000 0.000
0.000 4.884 0.000
0.000 0.000 3.588
Mn Nb Cu F
1 2 1 1
Cartesian
0.000 0.000 0.000
0.000 2.442 1.794
2.442 0.000 1.794
2.442 2.442 1.794
2.442 2.442 0.000
```

E_tot (hartree per atom): -0.1950